(1)
Material: LiCoSnP2
Method: DFT, GGA-PBE
State: optimized geometry

Results
Its space group is No. 123. The formation energy comes out at 0.1065 eV per atom. For the density of states at the Fermi level, the calculation gives 0.568 states/eV per atom.

abc: 4.3323 4.3323 4.6563
angles: 90.00 90.00 90.00
Fractional positions:
Li 0.0000 0.0000 0.0000
Co 0.0000 0.0000 0.5000
Sn 0.5000 0.5000 0.0000
P 0.0000 0.5000 0.5000
P 0.5000 0.0000 0.5000



(2)
Material: Tm4Bi2N
Method: DFT, GGA-PBE
State: optimized geometry

Results
Its space group is No. 139. For the uncorrected formation energy, the calculation gives -6.2 eV per formula unit. For the density of states at the Fermi level, the calculation gives 1.010 states/eV per atom.

abc: 8.6545 8.6545 8.6545
angles: 148.92 148.92 44.52
Fractional positions:
Tm 0.0000 0.5000 0.5000
Tm 0.1561 0.1561 0.0000
Tm 0.5000 0.0000 0.5000
Tm 0.8439 0.8439 0.0000
Bi 0.3537 0.3537 0.0000
Bi 0.6463 0.6463 0.0000
N 0.0000 0.0000 0.0000



(3)
Material: NpGa2Sn
Method: DFT, GGA-PBE
State: optimized geometry

Results
Its space group is No. 225. The formation energy comes out at 0.0640 eV per atom. For the density of states at the Fermi level, the calculation gives 2.102 states/eV per atom.

abc: 4.9973 4.9973 4.9973
angles: 60.00 60.00 60.00
Fractional positions:
Np 0.0000 0.0000 0.0000
Ga 0.2500 0.2500 0.2500
Ga 0.7500 0.7500 0.7500
Sn 0.5000 0.5000 0.5000